(1)
The following is a DFT calculation (PBE-GGA) of a relaxed ZrNiRh2 crystal.

Cell: 2.9717 3.7193 5.5217 Å, 90.00 90.00 90.00°
With the nearest neighbours (Å) after each atom.
Space group Pmm2 (No. 25)
Symmetry-distinct sites (fractional):
Zr (0.0000, 0.0000, 0.0000)  6 Rh 2.63-2.89, 4 Ni 2.81
Ni (0.5000, 0.5000, 0.7312)  5 Rh 2.59-2.64, 4 Zr 2.81
Rh (0.0000, 0.0000, 0.5233)  2 Zr 2.63-2.89, 4 Ni 2.64, 4 Rh 2.78
Rh (0.5000, 0.5000, 0.2623)  1 Ni 2.59, 4 Rh 2.78, 4 Zr 2.79

Computed properties:
density of states at the Fermi level	1.286	states/eV per atom
formation enthalpy at 0 K	-353	meV/atom
V	61.03	Å³ per cell
VASP energy	-7.61	eV per atom



(2)
The following is a DFT calculation (PBE-GGA) of a relaxed ZrNi2Rh crystal.

Cell: 3.8611 3.8611 7.6658 Å, 90.00 90.00 90.00°
With the nearest neighbours (Å) after each atom.
Space group I-4m2 (No. 119)
Symmetry-distinct sites (fractional):
Zr (0.0000, 0.0000, 0.0000)  8 Ni 2.72-2.73, 4 Rh 2.72
Ni (0.0000, 0.0000, 0.5000)  4 Ni 2.72, 4 Rh 2.72, 4 Zr 2.73
Ni (0.0000, 0.5000, 0.2500)  4 Zr 2.72, 4 Ni 2.72, 4 Rh 2.73
Rh (0.0000, 0.5000, 0.7500)  4 Zr 2.72, 8 Ni 2.72-2.73

Computed properties:
density of states at the Fermi level	1.467	states/eV per atom
formation enthalpy at 0 K	-425	meV/atom
V	114.28	Å³ per cell
VASP energy	-7.29	eV per atom